Below is a relaxed structure of KCo2MoPt, with properties calculated at the PBE-GGA level.

Cell: 4.605 4.988 4.605 Å, 90.00 90.00 90.00°
Site moments in Bohr magnetons follow the coordinates.
Atoms (fractional coordinates):
1 Co 0.000 0.000 0.500  1.13
2 Co 0.500 0.000 0.000  0.85
3 K 0.500 0.500 0.500  0.00
4 Pt 0.000 0.500 0.000  0.05
5 Mo 0.000 0.000 0.000  -0.14

Formation energy: 1045 meV per atom
SG: P4/mmm, No. 123
V: 21.15 Å³ per atom

=====

Below is a relaxed structure of LuTiSb, with properties calculated at the PBE-GGA level.

Cell: 3.638 4.736 4.736 Å, 120.00 90.00 90.00°
Site moments in Bohr magnetons follow the coordinates.
Atoms (fractional coordinates):
1 Lu 0.666 0.667 0.333  0.15
2 Sb 0.167 0.000 0.000  -0.01
3 Ti 0.166 0.333 0.667  1.13

DFT total energy: -17.25 eV/cell
SG: P-6m2, No. 187
V: 23.56 Å³ per atom

=====

Below is a relaxed structure of Sm2Th8O19, with properties calculated at the PBE-GGA level.

Cell: 3.968 3.968 28.015 Å, 90.00 90.00 90.00°
Atoms (fractional coordinates):
1 O 0.000 0.000 0.907
2 O 0.000 0.000 0.601
3 O 0.500 0.500 0.103
4 O 0.500 0.500 0.600
5 O 0.000 0.000 0.702
6 O 0.500 0.500 0.201
7 O 0.500 0.500 0.799
8 O 0.000 0.000 0.196
9 O 0.500 0.500 0.300
10 O 0.500 0.500 0.897
11 O 0.000 0.000 0.298
12 O 0.500 0.500 0.700
13 O 0.000 0.000 0.804
14 O 0.500 0.500 0.000
15 O 0.000 0.000 0.399
16 O 0.500 0.500 0.400
17 O 0.000 0.000 0.500
18 O 0.500 0.500 0.500
19 O 0.000 0.000 0.093
20 Th 0.000 0.500 0.751
21 Th 0.500 0.000 0.650
22 Th 0.500 0.000 0.249
23 Th 0.000 0.500 0.550
24 Th 0.000 0.500 0.350
25 Th 0.000 0.500 0.149
26 Th 0.500 0.000 0.450
27 Th 0.500 0.000 0.851
28 Sm 0.500 0.000 0.055
29 Sm 0.000 0.500 0.945

DFT total energy: -272.98 eV/cell
SG: P-4m2, No. 115
V: 15.21 Å³ per atom

=====

Below is a relaxed structure of YBS4, with properties calculated at the PBE-GGA level.

Cell: 5.404 5.404 8.640 Å, 90.00 90.00 99.07°
Atoms (fractional coordinates):
1 B 0.860 0.860 0.750
2 B 0.140 0.140 0.250
3 S 0.694 0.694 0.924
4 S 0.172 0.795 0.250
5 S 0.795 0.172 0.250
6 S 0.205 0.828 0.750
7 S 0.828 0.205 0.750
8 S 0.306 0.306 0.424
9 S 0.694 0.694 0.576
10 S 0.306 0.306 0.076
11 Y 0.350 0.350 0.750
12 Y 0.650 0.650 0.250

DFT total energy: -68.16 eV/cell
SG: Cmcm, No. 63
V: 20.76 Å³ per atom